No. 1
## Ba2In3Ge (PBE)

Data for a relaxed Ba2In3Ge crystal.

Its volume is 32.1 A^3/atom. The value obtained for the energy of formation from the pure elements is -439 meV/atom. The calculation puts the calculated density at 5.96 g/cm3.

It has space group Cm (No. 8), with a = 12.306 Å, b = 4.924 Å, c = 8.189 Å, α = 90.00°, β = 129.04° and γ = 90.00°. The distinct sites, in fractional coordinates, are Ba at (0.000, 0.000, 0.000), Ba at (0.125, 0.000, 0.635), In at (0.227, 0.500, 0.034), In at (0.231, 0.500, 0.408), In at (0.398, 0.000, 0.246) and Ge at (0.401, 0.000, 0.607).



No. 2
## CaMnCo2Ru (PBE)

Data for a relaxed CaMnCo2Ru crystal.

Its volume is 16.7 A^3/atom. The value obtained for the energy of formation from the pure elements is 680 meV/atom. The calculation puts the calculated density at 6.24 g/cm3.

It has space group P4/mmm (No. 123), with a = 4.344 Å, b = 4.344 Å, c = 4.430 Å, α = 90.00°, β = 90.00° and γ = 90.00°. The distinct sites, in fractional coordinates, are Ca at (0.000, 0.000, 0.000), Mn at (0.500, 0.500, 0.500), Co at (0.000, 0.500, 0.500) and Ru at (0.500, 0.500, 0.000).



No. 3
## LaPrAg4 (PBE)

Data for a relaxed LaPrAg4 crystal.

Its volume is 26.2 A^3/atom. The value obtained for the energy of formation from the pure elements is 5 meV/atom. The calculation puts the calculated density at 7.50 g/cm3.

It has space group Pmmm (No. 47), with a = 3.573 Å, b = 4.343 Å, c = 10.141 Å, α = 90.00°, β = 90.00° and γ = 90.00°. The distinct sites, in fractional coordinates, are La at (0.000, 0.000, 0.000), Pr at (0.500, 0.500, 0.500), Ag at (0.000, 0.500, 0.235) and Ag at (0.500, 0.000, 0.270).



Repeat the first record exactly.
## Ba2In3Ge (PBE)

Data for a relaxed Ba2In3Ge crystal.

Its volume is 32.1 A^3/atom. The value obtained for the energy of formation from the pure elements is -439 meV/atom. The calculation puts the calculated density at 5.96 g/cm3.

It has space group Cm (No. 8), with a = 12.306 Å, b = 4.924 Å, c = 8.189 Å, α = 90.00°, β = 129.04° and γ = 90.00°. The distinct sites, in fractional coordinates, are Ba at (0.000, 0.000, 0.000), Ba at (0.125, 0.000, 0.635), In at (0.227, 0.500, 0.034), In at (0.231, 0.500, 0.408), In at (0.398, 0.000, 0.246) and Ge at (0.401, 0.000, 0.607).